The following is a DFT calculation (PBE) of a relaxed structure of MnCd2Hg.

a = 3.0687 Å, b = 3.0687 Å, c = 31.0077 Å
α = 90.00°, β = 90.00°, γ = 120.00°
Space group R-3m (No. 166, hexagonal axes)
One atom of each set of equivalent atoms:
Mn 0.0000 0.0000 0.0000 (multiplicity 3)
Cd 0.0000 0.0000 0.2588 (multiplicity 6)
Hg 0.0000 0.0000 0.5000 (multiplicity 3)

Properties
The value obtained for the total energy is -2.602 eV/atom. As for the energy of formation: 0.223 eV/atom. As for the density: 9.46 Mg/m³. As for the spin magnetization: 3.9 μB/f.u. The volume comes out at 253 Å³/cell.